Record 1
The following is a DFT calculation (GGA-PBEsol) of a relaxed structure of TaTl2Sb.

a = 3.1101 Å, b = 4.5984 Å, c = 7.7442 Å
α = 107.27°, β = 101.58°, γ = 90.00°
Last column: nearest neighbours and their distance in Å.
Fractional positions:
Sb 0.5000 0.0000 0.0000  4 Ta 2.78
Ta 0.0000 0.5000 0.0000  4 Sb 2.78
Tl 0.6868 0.6868 0.3736  6 Tl 3.11-3.32, 2 Ta 3.12
Tl 0.3132 0.3132 0.6264  6 Tl 3.11-3.32, 2 Ta 3.12

Values from the calculation:
Uncorrected formation energy   32 kJ per mole of atoms
Total energy   -5.256 eV/atom
Crystal system   orthorhombic

=====

Record 2
The following is a DFT calculation (GGA-PBEsol) of a relaxed structure of Zr2TlCd.

a = 3.1342 Å, b = 3.1342 Å, c = 10.4177 Å
α = 81.35°, β = 81.35°, γ = 60.00°
Last column: nearest neighbours and their distance in Å.
Fractional positions:
Cd 0.5000 0.5000 0.5000  6 Zr 3.13, 6 Cd 3.13
Tl 0.0000 0.0000 0.0000  6 Tl 3.13, 6 Zr 3.15
Zr 0.2496 0.2496 0.2513  3 Cd 3.13, 6 Zr 3.13, 3 Tl 3.15
Zr 0.7504 0.7504 0.7487  3 Cd 3.13, 6 Zr 3.13, 3 Tl 3.15

Values from the calculation:
Total energy   -5.538 eV/atom
Energy of formation from the pure elements   -0.036 eV/atom
Crystal system   trigonal

=====

Record 3
The following is a DFT calculation (GGA-PBEsol) of a relaxed structure of NiMo2Ru.

a = 2.7026 Å, b = 3.7811 Å, c = 5.3122 Å
α = 90.00°, β = 89.98°, γ = 90.00°
Last column: nearest neighbours and their distance in Å.
Fractional positions:
Ru 0.5000 0.5000 0.5000  2 Ni 2.66, 8 Mo 2.68, 2 Ru 2.70
Mo 0.9998 0.0000 0.7505  4 Mo 2.65-2.70, 4 Ni 2.67-2.68, 4 Ru 2.68
Mo 0.0002 0.0000 0.2495  4 Mo 2.65-2.70, 4 Ni 2.67-2.68, 4 Ru 2.68
Ni 0.5000 0.5000 0.0000  2 Ru 2.66, 8 Mo 2.67-2.68, 2 Ni 2.70

Values from the calculation:
Total energy   -9.945 eV/atom
Energy of formation from the pure elements   0.021 eV/atom
Crystal system   orthorhombic

=====

Record 4
The following is a DFT calculation (GGA-PBEsol) of a relaxed structure of K2Cl.

a = 4.4153 Å, b = 4.4153 Å, c = 7.6978 Å
α = 90.00°, β = 90.00°, γ = 120.00°
Last column: nearest neighbours and their distance in Å.
Fractional positions:
K 0.6667 0.3333 0.2404  3 Cl 3.15
K 0.3333 0.6667 0.7596  3 Cl 3.15
Cl 0.0000 0.0000 0.0000  6 K 3.15

Values from the calculation:
Uncorrected formation energy   -119 kJ per mole of atoms
Total energy   -2.658 eV/atom
Crystal system   trigonal